Record 1
Crystalline Li4Sn2P4H3O16 at its relaxed geometry, computed with PBEsol.

Unit cell a=4.801 b=8.034 c=8.849 alpha=90.10 beta=91.04 gamma=102.02
Sites, in units of the cell vectors:
O 0.009 0.685 0.192
Li 0.881 0.318 0.338
P 0.357 0.223 0.129
Li 0.367 0.833 0.137
Sn 0.979 0.500 0.992
Sn 0.489 0.996 0.497
H 0.035 0.004 0.998
O 0.430 0.813 0.706
O 0.045 0.808 0.461
O 0.788 0.646 0.795
Li 0.638 0.151 0.855
O 0.778 0.944 0.910
O 0.356 0.475 0.622
O 0.599 0.801 0.303
P 0.602 0.777 0.846
H 0.566 0.507 0.466
O 0.368 0.169 0.700
O 0.980 0.235 0.526
O 0.995 0.318 0.805
H 0.520 0.521 0.696
O 0.399 0.685 0.969
P 0.167 0.287 0.664
O 0.733 0.525 0.397
O 0.510 0.195 0.275
O 0.120 0.325 0.155
P 0.847 0.715 0.334
O 0.223 0.038 0.066
Li 0.086 0.675 0.639
O 0.561 0.313 0.007


Record 2
Crystalline LiSnPHO5 at its relaxed geometry, computed with PBEsol.

Unit cell a=5.077 b=5.804 c=8.143 alpha=109.85 beta=104.40 gamma=97.29
Sites, in units of the cell vectors:
H 0.087 0.754 0.709
O 0.339 0.863 0.661
Sn 0.000 0.000 0.000
P 0.559 0.858 0.212
O 0.229 0.785 0.127
O 0.657 0.679 0.302
O 0.771 0.215 0.873
H 0.913 0.246 0.291
P 0.441 0.142 0.788
O 0.061 0.301 0.237
O 0.327 0.197 0.958
O 0.343 0.321 0.698
O 0.673 0.803 0.042
Li 0.093 0.444 0.840
Sn 0.500 0.500 0.500
Li 0.907 0.556 0.160
O 0.661 0.137 0.339
O 0.939 0.699 0.763


E? In order: -6.558, -6.494 eV/atom.
Total magnetic moment? In order: 1.02, 0.00 μB/cell.